1.
This record from Alexandria describes a geometry-optimized Sr3IO4 structure. The functional is PBE. Values from VASP.

Quantum ESPRESSO input file:
```
&SYSTEM
  ibrav = 0, nat = 16, ntyp = 3
/
ATOMIC_SPECIES
O 16.00 O.upf
Sr 87.62 Sr.upf
I 126.90 I.upf
ATOMIC_POSITIONS crystal
O 0.564 0.681 0.758
O 0.064 0.319 0.258
O 0.564 0.207 0.000
O 0.064 0.793 0.500
O 0.064 0.319 0.742
O 0.564 0.182 0.500
O 0.564 0.681 0.242
O 0.064 0.818 0.000
Sr 0.564 0.881 0.000
Sr 0.064 0.662 0.764
Sr 0.564 0.338 0.736
Sr 0.064 0.662 0.236
Sr 0.064 0.119 0.500
Sr 0.564 0.338 0.264
I 0.564 0.716 0.500
I 0.064 0.284 0.000
CELL_PARAMETERS angstrom
-4.692 1.398 -1.763
0.842 -4.751 -6.008
-3.553 -6.285 4.471
```

Computed properties:
As for the uncorrected formation energy: -1.97 eV per atom. The value obtained for the density of states at the Fermi level is 2.81 states/eV per cell. The mass density comes out at 4.4 Mg/m³.

---

2.
This record from Alexandria describes a geometry-optimized ScPdAu3 structure. The functional is PBE. Values from VASP.

Quantum ESPRESSO input file:
```
&SYSTEM
  ibrav = 0, nat = 5, ntyp = 3
/
ATOMIC_SPECIES
Au 196.97 Au.upf
Pd 106.42 Pd.upf
Sc 44.96 Sc.upf
ATOMIC_POSITIONS crystal
Au 0.500 0.000 0.000
Au 0.000 0.000 0.500
Au 0.000 0.500 0.000
Pd 0.500 0.500 0.500
Sc 0.000 0.000 0.000
CELL_PARAMETERS angstrom
-0.983 2.863 -4.036
-4.948 -0.657 0.739
-0.107 4.102 2.936
```

Computed properties:
The energy relative to the elements is 0.674 eV per atom. The value obtained for the density of states at the Fermi level is 3.24 states/eV per cell. The mass density comes out at 9.6 Mg/m³.

---

3.
This record from Alexandria describes a geometry-optimized LaSm4Tm2 structure. The functional is PBE. Values from VASP.

Quantum ESPRESSO input file:
```
&SYSTEM
  ibrav = 0, nat = 14, ntyp = 3
/
ATOMIC_SPECIES
Tm 168.93 Tm.upf
Sm 150.36 Sm.upf
La 138.91 La.upf
ATOMIC_POSITIONS crystal
Tm 0.721 0.680 0.436
Tm 0.804 0.415 0.037
Tm 0.125 0.129 0.607
Tm 0.445 0.835 0.175
Sm 0.624 0.122 0.604
Sm 0.332 0.242 0.318
Sm 0.308 0.413 0.039
Sm 0.420 0.012 0.902
Sm 0.945 0.839 0.180
Sm 0.027 0.563 0.772
Sm 0.828 0.243 0.316
Sm 0.528 0.564 0.771
La 0.222 0.685 0.448
La 0.920 0.006 0.897
CELL_PARAMETERS angstrom
0.243 4.366 -5.643
-0.361 -7.802 -3.821
-7.612 2.620 3.906
```

Computed properties:
The energy relative to the elements is 0.044 eV per atom. The value obtained for the density of states at the Fermi level is 21.40 states/eV per cell. The mass density comes out at 7.6 Mg/m³.

---

4.
This record from Alexandria describes a geometry-optimized Na3Tl12Ge5 structure. The functional is PBE. Values from VASP.

Quantum ESPRESSO input file:
```
&SYSTEM
  ibrav = 0, nat = 80, ntyp = 3
/
ATOMIC_SPECIES
Tl 204.38 Tl.upf
Ge 72.64 Ge.upf
Na 22.99 Na.upf
ATOMIC_POSITIONS crystal
Tl 0.678 0.220 0.610
Tl 0.067 0.178 0.458
Tl 0.390 0.958 0.780
Tl 0.433 0.042 0.322
Tl 0.958 0.567 0.178
Tl 0.322 0.542 0.433
Tl 0.390 0.110 0.567
Tl 0.933 0.110 0.890
Tl 0.110 0.390 0.067
Tl 0.110 0.720 0.542
Tl 0.110 0.933 0.390
Tl 0.567 0.610 0.390
Tl 0.110 0.178 0.220
Tl 0.433 0.390 0.610
Tl 0.542 0.220 0.110
Tl 0.390 0.433 0.110
Tl 0.822 0.933 0.042
Tl 0.780 0.322 0.890
Tl 0.780 0.458 0.390
Tl 0.220 0.678 0.110
Tl 0.890 0.610 0.933
Tl 0.458 0.780 0.890
Tl 0.610 0.042 0.220
Tl 0.458 0.678 0.067
Tl 0.933 0.822 0.542
Tl 0.042 0.433 0.822
Tl 0.890 0.822 0.780
Tl 0.322 0.780 0.390
Tl 0.822 0.890 0.280
Tl 0.390 0.280 0.322
Tl 0.610 0.890 0.433
Tl 0.890 0.280 0.458
Tl 0.958 0.390 0.280
Tl 0.610 0.720 0.678
Tl 0.720 0.610 0.178
Tl 0.220 0.542 0.610
Tl 0.720 0.110 0.042
Tl 0.890 0.067 0.610
Tl 0.678 0.458 0.567
Tl 0.178 0.110 0.720
Tl 0.280 0.390 0.822
Tl 0.542 0.322 0.933
Tl 0.042 0.610 0.720
Tl 0.567 0.958 0.678
Tl 0.610 0.567 0.890
Tl 0.067 0.890 0.110
Tl 0.280 0.890 0.958
Tl 0.178 0.067 0.958
Ge 0.500 0.000 0.000
Ge 0.500 0.000 0.500
Ge 0.500 0.500 0.500
Ge 0.625 0.875 0.250
Ge 0.625 0.750 0.875
Ge 0.125 0.375 0.250
Ge 0.750 0.625 0.375
Ge 0.250 0.375 0.625
Ge 0.000 0.500 0.000
Ge 0.125 0.750 0.375
Ge 0.375 0.250 0.125
Ge 0.875 0.625 0.750
Ge 0.250 0.875 0.125
Ge 0.000 0.000 0.000
Ge 0.000 0.500 0.500
Ge 0.000 0.000 0.500
Ge 0.375 0.125 0.750
Ge 0.750 0.125 0.875
Ge 0.500 0.500 0.000
Ge 0.875 0.250 0.625
Na 0.875 0.750 0.125
Na 0.375 0.625 0.250
Na 0.750 0.875 0.625
Na 0.625 0.250 0.375
Na 0.250 0.625 0.875
Na 0.250 0.125 0.375
Na 0.125 0.875 0.750
Na 0.750 0.375 0.125
Na 0.875 0.125 0.250
Na 0.625 0.375 0.750
Na 0.375 0.750 0.625
Na 0.125 0.250 0.875
CELL_PARAMETERS angstrom
15.066 0.000 0.000
-5.022 14.204 0.000
-5.022 -7.102 12.301
```

Computed properties:
The energy relative to the elements is 0.210 eV per atom. The value obtained for the density of states at the Fermi level is 43.57 states/eV per cell. The mass density comes out at 7.3 Mg/m³.

---

5.
This record from Alexandria describes a geometry-optimized CdPd2F6 structure. The functional is PBE. Values from VASP.

Quantum ESPRESSO input file:
```
&SYSTEM
  ibrav = 0, nat = 18, ntyp = 3
/
ATOMIC_SPECIES
Cd 112.41 Cd.upf
F 19.00 F.upf
Pd 106.42 Pd.upf
ATOMIC_POSITIONS crystal
Cd 0.153 0.216 0.718
Cd 0.847 0.784 0.282
F 0.738 0.635 0.911
F 0.623 0.092 0.097
F 0.963 0.398 0.412
F 0.745 0.121 0.402
F 0.377 0.908 0.903
F 0.375 0.390 0.413
F 0.037 0.602 0.588
F 0.960 0.908 0.907
F 0.040 0.092 0.093
F 0.625 0.610 0.587
F 0.262 0.365 0.089
F 0.255 0.879 0.598
Pd 0.499 0.245 0.250
Pd 0.998 0.750 0.753
Pd 0.002 0.250 0.247
Pd 0.501 0.755 0.750
CELL_PARAMETERS angstrom
-3.040 6.144 2.337
-5.884 -2.082 3.797
-0.775 -0.908 7.374
```

Computed properties:
As for the uncorrected formation energy: -1.46 eV per atom. The value obtained for the density of states at the Fermi level is 2.95 states/eV per cell. The mass density comes out at 5.0 Mg/m³.

---

6.
This record from Alexandria describes a geometry-optimized RbGa2AgTe4 structure. The functional is PBE. Values from VASP.

Quantum ESPRESSO input file:
```
&SYSTEM
  ibrav = 0, nat = 8, ntyp = 4
/
ATOMIC_SPECIES
Te 127.60 Te.upf
Rb 85.47 Rb.upf
Ga 69.72 Ga.upf
Ag 107.87 Ag.upf
ATOMIC_POSITIONS crystal
Te 0.091 0.861 0.502
Te 0.546 0.502 0.861
Te 0.454 0.139 0.498
Te 0.909 0.498 0.139
Rb 0.000 0.000 0.000
Ga 0.160 0.340 0.340
Ga 0.840 0.660 0.660
Ag 0.500 0.500 0.500
CELL_PARAMETERS angstrom
-1.900 6.590 0.295
-4.280 2.084 5.761
4.245 4.617 4.063
```

Computed properties:
As for the uncorrected formation energy: -0.24 eV per atom. The mass density comes out at 4.6 Mg/m³.

---

7.
This record from Alexandria describes a geometry-optimized GeBi2C structure. The functional is PBE. Values from VASP.

Quantum ESPRESSO input file:
```
&SYSTEM
  ibrav = 0, nat = 8, ntyp = 3
/
ATOMIC_SPECIES
Bi 208.98 Bi.upf
C 12.01 C.upf
Ge 72.64 Ge.upf
ATOMIC_POSITIONS crystal
Bi 0.194 0.625 0.250
Bi 0.875 0.806 0.750
Bi 0.375 0.444 0.750
Bi 0.556 0.125 0.250
C 0.250 0.750 0.500
C 0.500 0.500 0.000
Ge 0.000 0.000 0.000
Ge 0.750 0.250 0.500
CELL_PARAMETERS angstrom
6.811 0.000 0.000
0.000 6.811 0.000
3.405 3.405 4.323
```

Computed properties:
The energy relative to the elements is 1.037 eV per atom. The value obtained for the density of states at the Fermi level is 2.99 states/eV per cell. The mass density comes out at 8.3 Mg/m³.

---

8.
This record from Alexandria describes a geometry-optimized PmDy3Co2 structure. The functional is PBE. Values from VASP.

Quantum ESPRESSO input file:
```
&SYSTEM
  ibrav = 0, nat = 12, ntyp = 3
/
ATOMIC_SPECIES
Co 58.93 Co.upf
Dy 162.50 Dy.upf
Pm 145.00 Pm.upf
ATOMIC_POSITIONS crystal
Co 0.375 0.877 0.374
Co 0.125 0.630 0.120
Co 0.875 0.370 0.880
Co 0.625 0.123 0.626
Dy 0.936 0.937 0.190
Dy 0.689 0.683 0.939
Dy 0.810 0.821 0.559
Dy 0.311 0.317 0.061
Dy 0.064 0.063 0.810
Dy 0.190 0.179 0.441
Pm 0.563 0.565 0.309
Pm 0.437 0.435 0.691
CELL_PARAMETERS angstrom
-0.547 0.872 3.849
1.796 -7.125 3.931
9.467 1.510 3.065
```

Computed properties:
The energy relative to the elements is -0.077 eV per atom. The value obtained for the density of states at the Fermi level is 11.13 states/eV per cell. The mass density comes out at 8.0 Mg/m³.

---

9.
This record from Alexandria describes a geometry-optimized AlCu3Te structure. The functional is PBE. Values from VASP.

Quantum ESPRESSO input file:
```
&SYSTEM
  ibrav = 0, nat = 5, ntyp = 3
/
ATOMIC_SPECIES
Cu 63.55 Cu.upf
Al 26.98 Al.upf
Te 127.60 Te.upf
ATOMIC_POSITIONS crystal
Cu 0.500 0.000 0.000
Cu 0.000 0.000 0.500
Cu 0.000 0.500 0.000
Al 0.500 0.500 0.500
Te 0.000 0.000 0.000
CELL_PARAMETERS angstrom
4.908 0.000 0.000
0.000 4.908 0.000
0.000 0.000 4.908
```

Computed properties:
As for the uncorrected formation energy: 0.79 eV per atom. The value obtained for the density of states at the Fermi level is 2.95 states/eV per cell. The mass density comes out at 4.8 Mg/m³.

---

10.
This record from Alexandria describes a geometry-optimized Zr2CdOs structure. The functional is PBE. Values from VASP.

Quantum ESPRESSO input file:
```
&SYSTEM
  ibrav = 0, nat = 4, ntyp = 3
/
ATOMIC_SPECIES
Cd 112.41 Cd.upf
Os 190.23 Os.upf
Zr 91.22 Zr.upf
ATOMIC_POSITIONS crystal
Cd 0.000 0.000 0.524
Os 0.500 0.500 0.771
Zr 0.500 0.500 0.239
Zr 0.000 0.000 0.965
CELL_PARAMETERS angstrom
-1.645 2.018 2.111
-2.160 -2.472 0.680
4.175 -2.181 5.339
```

Computed properties:
The energy relative to the elements is -0.016 eV per atom. The value obtained for the density of states at the Fermi level is 2.48 states/eV per cell. The mass density comes out at 10.1 Mg/m³.

---

| no. | E_tot (eV per atom) |
| --- | --- |
| 1 | -5.27 |
| 2 | -3.60 |
| 3 | -4.63 |
| 4 | -2.56 |
| 5 | -3.96 |
| 6 | -3.05 |
| 7 | -4.36 |
| 8 | -5.54 |
| 9 | -3.04 |
| 10 | -7.33 |